## w
{
  "formula": "SrScSe2",
  "functional": "PBE-GGA",
  "state": "optimized geometry",
  "crystal_system": "orthorhombic",
  "sg": "Amm2, No. 38",
  "lattice_angstrom": [[-3.814, 5.489, -3.103], [-5.011, 5.370, 0.601], [2.862, 2.559, 1.007]],
  "species": ["Se", "Se", "Sc", "Sr"],
  "fractional_positions": [[0.044, 0.044, 0.125], [0.770, 0.770, 0.625], [0.225, 0.225, 0.125], [0.461, 0.461, 0.625]]
}



## x
{
  "formula": "SrScSe2",
  "functional": "PBE-GGA",
  "state": "optimized geometry",
  "crystal_system": "monoclinic",
  "sg": "C2/m, No. 12",
  "lattice_angstrom": [[-0.645, 2.344, -3.289], [-0.527, -1.728, -3.670], [-7.196, -0.097, -1.191]],
  "species": ["Se", "Se", "Sc", "Sr"],
  "fractional_positions": [[0.989, 0.989, 0.032], [0.511, 0.511, 0.468], [0.250, 0.250, 0.250], [0.750, 0.750, 0.750]]
}



## y
{
  "formula": "SrScSe2",
  "functional": "PBE-GGA",
  "state": "optimized geometry",
  "crystal_system": "trigonal",
  "sg": "R3m, No. 160",
  "lattice_angstrom": [[4.027, 0.000, 0.000], [2.013, 3.487, 0.000], [2.013, 1.162, 7.186]],
  "species": ["Sc", "Sr", "Se", "Se"],
  "fractional_positions": [[0.670, 0.670, 0.991], [0.497, 0.497, 0.510], [0.262, 0.262, 0.214], [0.072, 0.072, 0.785]]
}



## z
{
  "formula": "SrScSe2",
  "functional": "PBE-GGA",
  "state": "optimized geometry",
  "crystal_system": "monoclinic",
  "sg": "P2/m, No. 10",
  "lattice_angstrom": [[3.802, 0.000, 0.000], [0.000, 3.985, -0.080], [0.000, 0.158, 7.297]],
  "species": ["Sr", "Se", "Se", "Sc"],
  "fractional_positions": [[0.500, 0.250, 0.250], [0.000, 0.752, 0.009], [0.000, 0.748, 0.491], [0.500, 0.750, 0.750]]
}



x takes first place; second place is 0.059 eV/atom up.